DFT (PBE) results for a relaxed structure of In2CuBr.

## Properties
E_tot: -11.32 eV/cell
Total magnetization: 0.00 μB/f.u.
Energy relative to the lowest polymorph listed for this composition: 0.41 eV per formula unit
DOS at the Fermi energy: 0.212 states/eV/atom
Calculated volume: 27.547 Å³ per atom

abc: 3.7961 5.2592 5.8231
angles: 90.00 108.60 90.00
Closest atoms and distances in Å follow each position.
Space group Pm (No. 6)
Asymmetric unit:
In 0.0000 0.0000 0.0000 x1  2 Cu 2.89-2.90
In 0.2881 0.5000 0.5748 x1  2 Cu 2.63
Cu 0.3028 0.0000 0.6037 x1  4 In 2.63-2.90
Br 0.5764 0.5000 0.1440 x1  7 In 3.04-3.35

=====

DFT (PBE) results for a relaxed structure of In2CuBr.

## Properties
E_tot: -22.88 eV/cell
Total magnetization: 0.00 μB/f.u.
Energy relative to the lowest polymorph listed for this composition: 0.29 eV per formula unit
DOS at the Fermi energy: 0.241 states/eV/atom
Calculated volume: 24.018 Å³ per atom

abc: 4.7883 5.2833 7.5954
angles: 90.00 90.00 90.00
Closest atoms and distances in Å follow each position.
Space group Cmmm (No. 65)
Asymmetric unit:
In 0.0000 0.0000 0.2049 x4  4 Cu 2.86-3.07, 1 In 3.11
Cu 0.0000 0.5000 0.0000 x2  8 In 2.86-3.07
Br 0.0000 0.5000 0.5000 x2  8 In 3.28-3.46, 4 Br 3.57

=====

DFT (PBE) results for a relaxed structure of InCuBr2.

## Properties
E_tot: -37.73 eV/cell
Total magnetization: 0.00 μB/f.u.
Energy relative to the lowest polymorph listed for this composition: 2.46 eV per formula unit
Calculated volume: 25.381 Å³ per atom

abc: 7.4053 7.4053 7.4053
angles: 90.00 90.00 90.00
Closest atoms and distances in Å follow each position.
Space group F-43m (No. 216)
Asymmetric unit:
In 0.0000 0.0000 0.0000 x4  4 Br 3.21, 4 Cu 3.21
Cu 0.2500 0.2500 0.7500 x4  4 In 3.21, 4 Br 3.21
Br 0.0000 0.0000 0.5000 x4  4 Br 3.21, 4 Cu 3.21
Br 0.2500 0.2500 0.2500 x4  4 In 3.21, 4 Br 3.21

=====

DFT (PBE) results for a relaxed structure of In2CuBr.

## Properties
E_tot: -21.64 eV/cell
Total magnetization: 0.00 μB/f.u.
Energy relative to the lowest polymorph listed for this composition: 0.91 eV per formula unit
DOS at the Fermi energy: 0.251 states/eV/atom
Calculated volume: 26.542 Å³ per atom

abc: 4.2776 4.2776 11.6044
angles: 90.00 90.00 90.00
Closest atoms and distances in Å follow each position.
Space group I-4m2 (No. 119)
Asymmetric unit:
In 0.0000 0.0000 0.0000 x2  4 Cu 3.02
In 0.0000 0.5000 0.2500 x2  4 Br 3.02
Cu 0.0000 0.0000 0.5000 x2  4 In 3.02
Br 0.0000 0.5000 0.7500 x2  4 In 3.02

=====

DFT (PBE) results for a relaxed structure of KInCuBr6.

## Properties
E_tot: -25.27 eV/cell
Total magnetization: 1.04 μB/f.u.
DOS at the Fermi energy: 0.659 states/eV/atom
Calculated volume: 34.018 Å³ per atom

abc: 6.9253 6.9253 7.3712
angles: 90.00 90.00 120.00
Closest atoms and distances in Å follow each position.
Space group P312 (No. 149)
Asymmetric unit:
K 0.0000 0.0000 0.0000 x1  6 Br 3.36
In 0.3333 0.6667 0.5000 x1  6 Br 2.72
Cu 0.6667 0.3333 0.5000 x1  6 Br 2.62
Br 0.3789 0.0109 0.7085 x6  1 Cu 2.62, 1 In 2.72

=====

DFT (PBE) results for a relaxed structure of LaInCu2Br.

## Properties
E_tot: -17.21 eV/cell
Total magnetization: 0.00 μB/f.u.
DOS at the Fermi energy: 0.869 states/eV/atom
Calculated volume: 26.613 Å³ per atom

abc: 4.8203 4.8203 5.7268
angles: 90.00 90.00 90.00
Closest atoms and distances in Å follow each position.
Space group P4/mmm (No. 123)
Asymmetric unit:
La 0.0000 0.0000 0.0000 x1  4 Br 3.41, 8 Cu 3.74
In 0.5000 0.5000 0.5000 x1  4 Cu 2.41
Cu 0.0000 0.5000 0.5000 x2  2 In 2.41
Br 0.5000 0.5000 0.0000 x1  2 In 2.86

=====

DFT (PBE) results for a relaxed structure of InCuMoBr2.

## Properties
E_tot: -17.92 eV/cell
Total magnetization: 0.16 μB/f.u.
DOS at the Fermi energy: 0.659 states/eV/atom
Calculated volume: 27.919 Å³ per atom

abc: 4.8915 4.8915 5.8342
angles: 90.00 90.00 90.00
Closest atoms and distances in Å follow each position.
Space group P4/mmm (No. 123)
Asymmetric unit:
In 0.0000 0.0000 0.0000 x1  2 Mo 2.92
Cu 0.5000 0.5000 0.0000 x1  4 In 3.46, 8 Br 3.81
Mo 0.0000 0.0000 0.5000 x1  4 Br 2.45
Br 0.0000 0.5000 0.5000 x2  2 Mo 2.45

=====

DFT (PBE) results for a relaxed structure of NaInCuBr6.

## Properties
E_tot: -24.94 eV/cell
Total magnetization: 1.04 μB/f.u.
DOS at the Fermi energy: 0.656 states/eV/atom
Calculated volume: 30.041 Å³ per atom

abc: 6.8417 6.8417 6.6696
angles: 90.00 90.00 120.00
Closest atoms and distances in Å follow each position.
Space group P312 (No. 149)
Asymmetric unit:
Na 0.0000 0.0000 0.0000 x1  6 Br 3.07
In 0.3333 0.6667 0.5000 x1  6 Br 2.72
Cu 0.6667 0.3333 0.5000 x1  6 Br 2.62
Br 0.3691 0.0114 0.7290 x6  1 Cu 2.62, 1 In 2.72

=====

DFT (PBE) results for a relaxed structure of NbInCu2Br.

## Properties
E_tot: -16.68 eV/cell
Total magnetization: 2.51 μB/f.u.
DOS at the Fermi energy: 0.912 states/eV/atom
Calculated volume: 22.838 Å³ per atom

abc: 4.4910 4.4910 5.6616
angles: 90.00 90.00 90.00
Closest atoms and distances in Å follow each position.
Space group P4/mmm (No. 123)
Asymmetric unit:
Nb 0.0000 0.0000 0.0000 x1  4 In 3.18
In 0.5000 0.5000 0.0000 x1  2 Br 2.83
Cu 0.0000 0.5000 0.5000 x2  2 Br 2.25
Br 0.5000 0.5000 0.5000 x1  4 Cu 2.25

=====

DFT (PBE) results for a relaxed structure of InCuPBr2.

## Properties
E_tot: -12.01 eV/cell
Total magnetization: 2.73 μB/f.u.
DOS at the Fermi energy: 0.920 states/eV/atom
Calculated volume: 32.652 Å³ per atom

abc: 5.6002 5.6002 5.2057
angles: 90.00 90.00 90.00
Closest atoms and distances in Å follow each position.
Space group P4/mmm (No. 123)
Asymmetric unit:
In 0.0000 0.0000 0.0000 x1  2 Cu 2.60, 4 Br 2.80
Cu 0.0000 0.0000 0.5000 x1  2 In 2.60
P 0.5000 0.5000 0.5000 x1  8 Br 3.82, 4 Cu 3.96
Br 0.0000 0.5000 0.0000 x2  2 In 2.80

=====

DFT (PBE) results for a relaxed structure of PaInCuBr6.

## Properties
E_tot: -70.47 eV/cell
Total magnetization: 1.01 μB/f.u.
DOS at the Fermi energy: 0.091 states/eV/atom
Calculated volume: 35.810 Å³ per atom

abc: 7.0376 7.0376 15.0279
angles: 90.00 90.00 120.00
Closest atoms and distances in Å follow each position.
Space group P-31c (No. 163)
Asymmetric unit:
Pa 0.3333 0.6667 0.2500 x2  6 Br 2.82
In 0.0000 0.0000 0.0000 x2  6 Br 3.32
Cu 0.3333 0.6667 0.7500 x2  6 Br 2.72
Br 0.0112 0.3650 0.6429 x12  1 Cu 2.72, 1 Pa 2.82

=====

DFT (PBE) results for a relaxed structure of RbInCu2Br8.

## Properties
E_tot: -33.01 eV/cell
Total magnetization: 2.12 μB/f.u.
DOS at the Fermi energy: 1.157 states/eV/atom
Calculated volume: 32.148 Å³ per atom

abc: 6.7967 6.7967 9.6429
angles: 90.00 90.00 120.00
Closest atoms and distances in Å follow each position.
Space group P-3 (No. 147)
Asymmetric unit:
Rb 0.0000 0.0000 0.0000 x1  12 Br 3.88-3.93
In 0.0000 0.0000 0.5000 x1  6 Br 2.74
Cu 0.3333 0.6667 0.7328 x2  4 Br 2.36-2.43
Br 0.0102 0.6817 0.3310 x6  1 Cu 2.43
Br 0.3333 0.6667 0.9771 x2  1 Cu 2.36

=====

DFT (PBE) results for a relaxed structure of Rb2InCuBr6.

## Properties
E_tot: -117.64 eV/cell
Total magnetization: 0.00 μB/f.u.
DOS at the Fermi energy: 0.297 states/eV/atom
Calculated volume: 31.828 Å³ per atom

abc: 10.8382 10.8382 10.8382
angles: 90.00 90.00 90.00
Closest atoms and distances in Å follow each position.
Space group Fm-3m (No. 225)
Asymmetric unit:
Rb 0.2500 0.2500 0.2500 x8  12 Br 3.83
In 0.0000 0.0000 0.0000 x4  6 Br 2.76
Cu 0.0000 0.0000 0.5000 x4  6 Br 2.66
Br 0.0000 0.0000 0.2546 x24  1 Cu 2.66, 1 In 2.76

=====

DFT (PBE) results for a relaxed structure of Rb3In2CuBr9.

## Properties
E_tot: -44.05 eV/cell
Total magnetization: 0.00 μB/f.u.
DOS at the Fermi energy: 0.083 states/eV/atom
Calculated volume: 33.456 Å³ per atom

abc: 7.7843 7.7843 9.5630
angles: 90.00 90.00 120.00
Closest atoms and distances in Å follow each position.
Space group P-3m1 (No. 164)
Asymmetric unit:
Rb 0.0000 0.0000 0.0000 x1  12 Br 3.89-3.90
Rb 0.3333 0.6667 0.6611 x2  12 Br 3.86-3.94
In 0.3333 0.6667 0.1831 x2  6 Br 2.76-2.85
Cu 0.0000 0.0000 0.5000 x1  6 Br 2.66
Br 0.0000 0.5000 0.0000 x3  2 In 2.85
Br 0.1606 0.3211 0.3387 x6  1 Cu 2.66, 1 In 2.76

=====

DFT (PBE) results for a relaxed structure of Rb3InCu2Br9.

## Properties
E_tot: -43.79 eV/cell
Total magnetization: 0.00 μB/f.u.
DOS at the Fermi energy: 0.391 states/eV/atom
Calculated volume: 30.760 Å³ per atom

abc: 7.5660 7.5660 9.3072
angles: 90.00 90.00 120.00
Closest atoms and distances in Å follow each position.
Space group P-3m1 (No. 164)
Asymmetric unit:
Rb 0.0000 0.0000 0.0000 x1  12 Br 3.78-3.79
Rb 0.3333 0.6667 0.6728 x2  12 Br 3.75-3.84
In 0.0000 0.0000 0.5000 x1  6 Br 2.73
Cu 0.3333 0.6667 0.1425 x2  6 Br 2.56-2.76
Br 0.0000 0.5000 0.0000 x3  2 Cu 2.56
Br 0.1700 0.3400 0.3297 x6  1 In 2.73, 1 Cu 2.76

=====

DFT (PBE) results for a relaxed structure of RbIn2CuBr.

## Properties
E_tot: -10.83 eV/cell
Total magnetization: 0.00 μB/f.u.
DOS at the Fermi energy: 0.888 states/eV/atom
Calculated volume: 38.962 Å³ per atom

abc: 6.3756 6.3756 4.7926
angles: 90.00 90.00 90.00
Closest atoms and distances in Å follow each position.
Space group P4/mmm (No. 123)
Asymmetric unit:
Rb 0.0000 0.0000 0.0000 x1  8 In 3.99
In 0.0000 0.5000 0.5000 x2  2 Br 3.19
Cu 0.5000 0.5000 0.0000 x1  2 Br 2.40
Br 0.5000 0.5000 0.5000 x1  2 Cu 2.40

=====

DFT (PBE) results for a relaxed structure of RbIn2CuBr8.

## Properties
E_tot: -102.32 eV/cell
Total magnetization: 0.12 μB/f.u.
Calculated volume: 35.385 Å³ per atom

abc: 6.9582 6.9582 30.3811
angles: 90.00 90.00 120.00
Closest atoms and distances in Å follow each position.
Space group R-3 (No. 148, hexagonal axes)
Asymmetric unit:
Rb 0.0000 0.0000 0.0000 x3  12 Br 4.02-4.18
In 0.0000 0.0000 0.2420 x6  4 Br 2.56
Cu 0.0000 0.0000 0.5000 x3  6 Br 2.70
Br 0.0000 0.0000 0.3263 x6  1 In 2.56
Br 0.0128 0.3608 0.2190 x18  1 In 2.56, 1 Cu 2.70

=====

DFT (PBE) results for a relaxed structure of InCu2SBr.

## Properties
E_tot: -13.11 eV/cell
Total magnetization: 0.00 μB/f.u.
DOS at the Fermi energy: 0.498 states/eV/atom
Calculated volume: 26.007 Å³ per atom

abc: 5.2286 5.2286 4.7567
angles: 90.00 90.00 90.00
Closest atoms and distances in Å follow each position.
Space group P4/mmm (No. 123)
Asymmetric unit:
In 0.0000 0.0000 0.0000 x1  2 S 2.38, 4 Cu 2.61
Cu 0.0000 0.5000 0.0000 x2  2 In 2.61
S 0.0000 0.0000 0.5000 x1  2 In 2.38
Br 0.5000 0.5000 0.5000 x1  8 Cu 3.53, 4 S 3.70

=====

DFT (PBE) results for a relaxed structure of ScIn2CuBr.

## Properties
E_tot: -15.26 eV/cell
Total magnetization: 1.08 μB/f.u.
DOS at the Fermi energy: 0.807 states/eV/atom
Calculated volume: 34.535 Å³ per atom

abc: 5.9189 5.9189 4.9289
angles: 90.00 90.00 90.00
Closest atoms and distances in Å follow each position.
Space group P4/mmm (No. 123)
Asymmetric unit:
Sc 0.0000 0.0000 0.0000 x1  2 Cu 2.46
In 0.0000 0.5000 0.0000 x2  2 Sc 2.96
Cu 0.0000 0.0000 0.5000 x1  2 Sc 2.46
Br 0.5000 0.5000 0.5000 x1  8 In 3.85, 4 Cu 4.19

=====

DFT (PBE) results for a relaxed structure of InCuSe2Br.

## Properties
E_tot: -15.11 eV/cell
Total magnetization: 0.00 μB/f.u.
Energy relative to the lowest polymorph listed for this composition: 0.00 eV per formula unit
DOS at the Fermi energy: 1.298 states/eV/atom
Calculated volume: 24.999 Å³ per atom

abc: 4.8252 4.8252 5.3685
angles: 90.00 90.00 90.00
Closest atoms and distances in Å follow each position.
Space group P4/mmm (No. 123)
Asymmetric unit:
In 0.0000 0.0000 0.0000 x1  4 Br 3.41, 8 Se 3.61
Cu 0.5000 0.5000 0.5000 x1  4 Se 2.41, 2 Br 2.68
Se 0.0000 0.5000 0.5000 x2  2 Cu 2.41
Br 0.5000 0.5000 0.0000 x1  2 Cu 2.68